Record 1
First-principles (PBE) data for HfW3I after structural relaxation, as listed in Alexandria.

Cell lengths 4.8311, 4.8311, 4.8311 Å; angles 90.00, 90.00, 90.00 degrees
Positions (direct):
I: 0.0000 0.0000 0.0000
Hf: 0.5000 0.5000 0.5000
W: 0.0000 0.5000 0.0000
W: 0.0000 0.0000 0.5000
W: 0.5000 0.0000 0.0000

D(E_F) (states/eV/cell): 9.29
SG: Pm-3m
Total magnetic moment (Bohr magnetons per cell): 0.0
E above lowest polymorph (eV per formula unit): 0.00
ΔE_f (raw) (eV/atom): 2.42

Record 2
First-principles (PBE) data for Hf3WI after structural relaxation, as listed in Alexandria.

Cell lengths 5.1476, 5.1476, 5.1476 Å; angles 90.00, 90.00, 90.00 degrees
Positions (direct):
I: 0.5000 0.5000 0.5000
Hf: 0.0000 0.5000 0.0000
Hf: 0.0000 0.0000 0.5000
Hf: 0.5000 0.0000 0.0000
W: 0.0000 0.0000 0.0000

D(E_F) (states/eV/cell): 9.12
SG: Pm-3m
Total magnetic moment (Bohr magnetons per cell): 0.0
E above lowest polymorph (eV per formula unit): 0.00
ΔE_f (raw) (eV/atom): 0.91

Record 3
First-principles (PBE) data for Y2HfI after structural relaxation, as listed in Alexandria.

Cell lengths 5.4321, 5.4321, 5.4321 Å; angles 60.00, 60.00, 60.00 degrees
Last column: magnetic moment on the atom in μB.
Positions (direct):
I: 0.0000 0.0000 0.0000  0.01
Y: 0.2500 0.2500 0.2500  0.23
Y: 0.7500 0.7500 0.7500  0.23
Hf: 0.5000 0.5000 0.5000  0.94

D(E_F) (states/eV/cell): 4.74
SG: Fm-3m
Total magnetic moment (Bohr magnetons per cell): 2.3
E above lowest polymorph (eV per formula unit): 0.33
ΔE_f (raw) (eV/atom): 0.30

Record 4
First-principles (PBE) data for Y2HfI2 after structural relaxation, as listed in Alexandria.

Cell lengths 8.5160, 8.5160, 3.6966 Å; angles 90.00, 90.00, 90.00 degrees
Positions (direct):
I: 0.3569 0.8569 0.0000
I: 0.8569 0.6431 0.0000
I: 0.6431 0.1431 0.0000
I: 0.1431 0.3569 0.0000
Y: 0.1604 0.6604 0.5000
Y: 0.6604 0.8396 0.5000
Y: 0.8396 0.3396 0.5000
Y: 0.3396 0.1604 0.5000
Hf: 0.0000 0.0000 0.0000
Hf: 0.5000 0.5000 0.0000

D(E_F) (states/eV/cell): 8.31
SG: P4/mbm
Total magnetic moment (Bohr magnetons per cell): 0.0
E above lowest polymorph (eV per formula unit): 0.00
ΔE_f (raw) (eV/atom): -0.18

Record 5
First-principles (PBE) data for Y2HfI after structural relaxation, as listed in Alexandria.

Cell lengths 3.5097, 3.5097, 11.3780 Å; angles 81.13, 81.13, 60.00 degrees
Last column: magnetic moment on the atom in μB.
Positions (direct):
I: 0.5000 0.5000 0.5000  0.01
Y: 0.0916 0.0916 0.7251  0.19
Y: 0.9084 0.9084 0.2749  0.19
Hf: 0.0000 0.0000 0.0000  0.61

D(E_F) (states/eV/cell): 5.68
SG: R-3m
Total magnetic moment (Bohr magnetons per cell): 1.6
E above lowest polymorph (eV per formula unit): 0.00
ΔE_f (raw) (eV/atom): 0.21

Record 6
First-principles (PBE) data for YHf3I after structural relaxation, as listed in Alexandria.

Cell lengths 5.2400, 5.2400, 5.2400 Å; angles 90.00, 90.00, 90.00 degrees
Positions (direct):
I: 0.0000 0.0000 0.0000
Y: 0.5000 0.5000 0.5000
Hf: 0.0000 0.5000 0.0000
Hf: 0.0000 0.0000 0.5000
Hf: 0.5000 0.0000 0.0000

D(E_F) (states/eV/cell): 7.37
SG: Pm-3m
Total magnetic moment (Bohr magnetons per cell): 0.0
E above lowest polymorph (eV per formula unit): 0.00
ΔE_f (raw) (eV/atom): 0.83

Repeat the first record exactly.
First-principles (PBE) data for HfW3I after structural relaxation, as listed in Alexandria.

Cell lengths 4.8311, 4.8311, 4.8311 Å; angles 90.00, 90.00, 90.00 degrees
Positions (direct):
I: 0.0000 0.0000 0.0000
Hf: 0.5000 0.5000 0.5000
W: 0.0000 0.5000 0.0000
W: 0.0000 0.0000 0.5000
W: 0.5000 0.0000 0.0000

D(E_F) (states/eV/cell): 9.29
SG: Pm-3m
Total magnetic moment (Bohr magnetons per cell): 0.0
E above lowest polymorph (eV per formula unit): 0.00
ΔE_f (raw) (eV/atom): 2.42